# 1
Crystalline PrZn3CuPd at its relaxed geometry, computed with PBE.

Cell: 7.1164 7.1164 5.6636 Å, 90.00 90.00 129.55°
Closest atoms and distances in Å follow each position.
Fractional positions:
Pr1 0.2204 0.7796 0.7500  1 Cu 2.78, 2 Pd 2.96
Pr2 0.7796 0.2204 0.2500  1 Cu 2.78, 2 Pd 2.96
Zn1 0.2047 0.2047 0.0000  2 Cu 2.43, 1 Zn 2.48
Zn2 0.2047 0.2047 0.5000  2 Cu 2.43, 1 Zn 2.48
Zn3 0.3621 0.6379 0.2500  1 Cu 2.60, 1 Pd 2.68, 4 Zn 2.89
Zn4 0.6379 0.3621 0.7500  1 Cu 2.60, 1 Pd 2.68, 4 Zn 2.89
Zn5 0.7953 0.7953 0.0000  2 Cu 2.43, 1 Zn 2.48
Zn6 0.7953 0.7953 0.5000  2 Cu 2.43, 1 Zn 2.48
Cu1 0.4360 0.5640 0.7500  5 Zn 2.43-2.60
Cu2 0.5640 0.4360 0.2500  5 Zn 2.43-2.60
Pd1 0.1543 0.8457 0.2500  5 Zn 2.68-2.74, 2 Pr 2.96
Pd2 0.8457 0.1543 0.7500  5 Zn 2.68-2.74, 2 Pr 2.96

**Raw total energy**: -3.247 eV per atom
**Magnetization**: 0.00 μB per cell



# 2
Crystalline Pr3Zn2CuPd9 at its relaxed geometry, computed with PBE.

Cell: 7.4589 7.4589 6.4699 Å, 90.00 90.00 120.00°
Closest atoms and distances in Å follow each position.
Fractional positions:
Pr1 0.0000 0.0000 0.0000  6 Pd 3.06, 2 Cu 3.23
Pr2 0.3333 0.6667 0.6649  6 Pd 3.03-3.06, 2 Zn 3.21-3.26
Pr3 0.6667 0.3333 0.3351  6 Pd 3.03-3.06, 2 Zn 3.21-3.26
Zn1 0.3333 0.6667 0.1680  6 Pd 2.41
Zn2 0.6667 0.3333 0.8320  6 Pd 2.41
Cu1 0.0000 0.0000 0.5000  6 Pd 2.41
Pd1 0.0000 0.5000 0.0000  2 Zn 2.41
Pd2 0.1670 0.3339 0.3356  1 Cu 2.41, 1 Zn 2.41
Pd3 0.1670 0.8330 0.3356  1 Cu 2.41, 1 Zn 2.41
Pd4 0.3339 0.1670 0.6644  1 Cu 2.41, 1 Zn 2.41
Pd5 0.5000 0.0000 0.0000  2 Zn 2.41
Pd6 0.5000 0.5000 0.0000  2 Zn 2.41
Pd7 0.6661 0.8330 0.3356  1 Cu 2.41, 1 Zn 2.41
Pd8 0.8330 0.1670 0.6644  1 Cu 2.41, 1 Zn 2.41
Pd9 0.8330 0.6661 0.6644  1 Cu 2.41, 1 Zn 2.41

**Raw total energy**: -4.853 eV per atom
**Magnetization**: 0.00 μB per cell



# 3
Crystalline Pr2Zn4CuPd3 at its relaxed geometry, computed with PBE.

Cell: 4.2887 4.2887 10.5223 Å, 90.00 90.00 90.00°
Closest atoms and distances in Å follow each position.
Fractional positions:
Pr1 0.0000 0.5000 0.2454  6 Pd 3.28-3.36, 8 Zn 3.28-3.43, 2 Cu 3.36
Pr2 0.5000 0.0000 0.7546  6 Pd 3.28-3.36, 8 Zn 3.28-3.43, 2 Cu 3.36
Zn1 0.0000 0.0000 0.5000  4 Pd 2.57
Zn2 0.0000 0.5000 0.8741  3 Pd 2.51-2.52, 2 Cu 2.52
Zn3 0.5000 0.0000 0.1259  3 Pd 2.51-2.52, 2 Cu 2.52
Zn4 0.5000 0.5000 0.5000  4 Pd 2.57
Cu1 0.5000 0.5000 0.0000  4 Zn 2.52
Pd1 0.0000 0.0000 0.0000  4 Zn 2.52
Pd2 0.0000 0.5000 0.6353  5 Zn 2.51-2.57
Pd3 0.5000 0.0000 0.3647  5 Zn 2.51-2.57

**Raw total energy**: -3.943 eV per atom
**Magnetization**: 0.00 μB per cell



# 4
Crystalline PrZnCuPd at its relaxed geometry, computed with PBE.

Cell: 4.3975 4.3975 5.4106 Å, 114.02 114.02 60.09°
Closest atoms and distances in Å follow each position.
Fractional positions:
Pr1 0.0000 0.0000 0.0000  4 Cu 2.94-3.13, 4 Pd 2.98-3.11
Zn1 0.4976 0.4976 0.4928  3 Cu 2.59, 3 Pd 2.62
Cu1 0.7947 0.7947 0.3841  3 Zn 2.59, 3 Pd 2.79
Pd1 0.2083 0.2083 0.6250  3 Zn 2.62, 3 Cu 2.79

**Raw total energy**: -4.302 eV per atom
**Distance to the lowest polymorph of the same formula**: 0 meV per atom
**Magnetization**: 0.00 μB per cell



# 5
Crystalline PrZn2CuPd4 at its relaxed geometry, computed with PBE.

Cell: 8.7881 8.7881 8.7881 Å, 28.66 28.66 28.66°
Closest atoms and distances in Å follow each position.
Fractional positions:
Pr1 0.0000 0.0000 0.0000  8 Pd 3.03-3.25
Zn1 0.2355 0.2355 0.2355  7 Pd 2.63-2.70
Zn2 0.7645 0.7645 0.7645  7 Pd 2.63-2.70
Cu1 0.5000 0.5000 0.5000  8 Pd 2.52-2.69
Pd1 0.1286 0.1286 0.1286  4 Zn 2.63-2.70, 3 Cu 2.69
Pd2 0.4001 0.4001 0.4001  1 Cu 2.52, 3 Zn 2.63
Pd3 0.5999 0.5999 0.5999  1 Cu 2.52, 3 Zn 2.63
Pd4 0.8714 0.8714 0.8714  4 Zn 2.63-2.70, 3 Cu 2.69

**Raw total energy**: -4.534 eV per atom
**Magnetization**: 0.00 μB per cell



# 6
Crystalline Cu6PdPt2 at its relaxed geometry, computed with PBE.

Cell: 4.9412 4.9412 4.9625 Å, 93.93 93.93 94.16°
Closest atoms and distances in Å follow each position.
Fractional positions:
Cu1 0.1666 0.5002 0.3334  5 Cu 2.41-2.65
Cu2 0.1667 0.8333 0.0000  5 Cu 2.41-2.65
Cu3 0.5002 0.1666 0.3334  5 Cu 2.41-2.65
Cu4 0.4998 0.8334 0.6666  5 Cu 2.41-2.65
Cu5 0.8333 0.1667 0.0000  5 Cu 2.41-2.65
Cu6 0.8334 0.4998 0.6666  5 Cu 2.41-2.65
Pd1 0.0000 0.0000 0.5000  2 Pt 2.65, 12 Cu 2.75-2.76
Pt1 0.3329 0.3329 0.8328  1 Pd 2.65, 1 Pt 2.66, 12 Cu 2.75-2.76
Pt2 0.6671 0.6671 0.1672  1 Pd 2.65, 1 Pt 2.66, 12 Cu 2.75-2.76

**Raw total energy**: -4.722 eV per atom
**Distance to the lowest polymorph of the same formula**: 0 meV per atom
**Magnetization**: 0.00 μB per cell